[1]
{
  "formula": "In2SnO6",
  "functional": "GGA-PBE",
  "state": "relaxed",
  "e_form_raw_ev_per_atom": -1.12,
  "sg": "P2_1/c (14)",
  "cell": [[5.685, 0.000, 0.000], [0.000, 4.483, 0.000], [-5.632, 0.000, 9.571]],
  "species": ["In", "In", "In", "In", "Sn", "Sn", "O", "O", "O", "O", "O", "O", "O", "O", "O", "O", "O", "O"],
  "frac_coords": [[0.183, 0.046, 0.182], [0.183, 0.454, 0.682], [0.817, 0.546, 0.318], [0.817, 0.954, 0.818], [0.500, 0.000, 0.000], [0.500, 0.500, 0.500], [0.168, 0.155, 0.824], [0.168, 0.345, 0.324], [0.200, 0.724, 0.522], [0.200, 0.776, 0.022], [0.472, 0.190, 0.642], [0.472, 0.310, 0.142], [0.528, 0.690, 0.858], [0.528, 0.810, 0.358], [0.800, 0.224, 0.978], [0.800, 0.276, 0.478], [0.832, 0.655, 0.676], [0.832, 0.845, 0.176]]
}


[2]
{
  "formula": "AcGaCuPt2",
  "functional": "GGA-PBE",
  "state": "relaxed",
  "formation_enthalpy_0k_mev_per_atom": -780,
  "sg": "I-4m2 (119)",
  "cell": [[-2.098, 2.098, 5.797], [2.098, -2.098, 5.797], [2.098, 2.098, -5.797]],
  "species": ["Ac", "Ga", "Cu", "Pt", "Pt"],
  "frac_coords": [[0.000, 0.000, 0.000], [0.750, 0.250, 0.500], [0.250, 0.750, 0.500], [0.381, 0.381, 0.000], [0.619, 0.619, 0.000]]
}


[3]
{
  "formula": "Y2FeRh",
  "functional": "GGA-PBE",
  "state": "relaxed",
  "formation_enthalpy_0k_mev_per_atom": -25,
  "sg": "Pmm2 (25)",
  "cell": [[3.291, 0.000, 0.000], [0.000, 4.504, 0.000], [0.000, 0.000, 5.725]],
  "species": ["Y", "Y", "Fe", "Rh"],
  "frac_coords": [[0.000, 0.000, 0.000], [0.500, 0.500, 0.385], [0.000, 0.000, 0.517], [0.500, 0.500, 0.868]]
}


[4]
{
  "formula": "ScTaOs",
  "functional": "GGA-PBE",
  "state": "relaxed",
  "polymorph_energy_mev_per_atom": 285,
  "formation_enthalpy_0k_mev_per_atom": -44,
  "sg": "F-43m (216)",
  "cell": [[0.000, 3.125, 3.125], [3.125, 0.000, 3.125], [3.125, 3.125, 0.000]],
  "species": ["Sc", "Ta", "Os"],
  "frac_coords": [[0.000, 0.000, 0.000], [0.500, 0.500, 0.500], [0.750, 0.750, 0.750]]
}


[5]
{
  "formula": "BaAgP",
  "functional": "GGA-PBE",
  "state": "relaxed",
  "formation_enthalpy_0k_mev_per_atom": -616,
  "sg": "Immm (71)",
  "cell": [[-2.261, 3.921, 4.563], [2.261, -3.921, 4.563], [2.261, 3.921, -4.563]],
  "species": ["Ba", "Ba", "Ag", "Ag", "P", "P"],
  "frac_coords": [[0.248, 0.248, 0.000], [0.752, 0.752, 0.000], [0.178, 0.500, 0.678], [0.822, 0.500, 0.322], [0.353, 0.000, 0.353], [0.647, 0.000, 0.647]]
}


[6]
{
  "formula": "NaThSbN",
  "functional": "GGA-PBE",
  "state": "relaxed",
  "e_form_raw_ev_per_atom": -0.74,
  "sg": "I4mm (107)",
  "cell": [[-1.680, 1.680, 8.005], [1.680, -1.680, 8.005], [1.680, 1.680, -8.005]],
  "species": ["Na", "Th", "Sb", "N"],
  "frac_coords": [[0.000, 0.000, 0.000], [0.696, 0.696, 0.000], [0.363, 0.363, 0.000], [0.150, 0.150, 0.000]]
}


[7]
{
  "formula": "Zr2IrCl",
  "functional": "GGA-PBE",
  "state": "relaxed",
  "polymorph_energy_mev_per_atom": 330,
  "e_form_raw_ev_per_atom": -0.48,
  "sg": "R-3m (166)",
  "cell": [[1.550, 0.895, 8.940], [-1.550, 0.895, 8.940], [0.000, -1.789, 8.940]],
  "species": ["Zr", "Zr", "Ir", "Cl"],
  "frac_coords": [[0.250, 0.250, 0.250], [0.750, 0.750, 0.750], [0.000, 0.000, 0.000], [0.500, 0.500, 0.500]]
}


[8]
{
  "formula": "Cd2GaHg3",
  "functional": "GGA-PBE",
  "state": "relaxed",
  "polymorph_energy_mev_per_atom": 4,
  "formation_enthalpy_0k_mev_per_atom": 55,
  "sg": "Cmcm (63)",
  "cell": [[3.245, -7.041, 0.000], [3.245, 7.041, 0.000], [0.000, 0.000, 6.436]],
  "species": ["Cd", "Cd", "Cd", "Cd", "Ga", "Ga", "Hg", "Hg", "Hg", "Hg", "Hg", "Hg"],
  "frac_coords": [[0.235, 0.235, 0.000], [0.235, 0.235, 0.500], [0.765, 0.765, 0.000], [0.765, 0.765, 0.500], [0.147, 0.853, 0.750], [0.853, 0.147, 0.250], [0.068, 0.430, 0.750], [0.361, 0.639, 0.250], [0.430, 0.068, 0.250], [0.570, 0.932, 0.750], [0.639, 0.361, 0.750], [0.932, 0.570, 0.250]]
}


[9]
{
  "formula": "Cs2U2CuSe6",
  "functional": "GGA-PBE",
  "state": "relaxed",
  "e_form_raw_ev_per_atom": -1.02,
  "sg": "C2/m (12)",
  "cell": [[3.420, -6.630, 0.000], [3.420, 6.630, 0.000], [-2.219, 0.000, 8.558]],
  "species": ["Cs", "Cs", "U", "U", "Cu", "Se", "Se", "Se", "Se", "Se", "Se"],
  "frac_coords": [[0.149, 0.851, 0.000], [0.851, 0.149, 0.000], [0.338, 0.662, 0.500], [0.662, 0.338, 0.500], [0.000, 0.000, 0.500], [0.048, 0.426, 0.687], [0.248, 0.248, 0.348], [0.426, 0.048, 0.687], [0.574, 0.952, 0.313], [0.752, 0.752, 0.652], [0.952, 0.574, 0.313]]
}


[10]
{
  "formula": "CsRb11Au5",
  "functional": "GGA-PBE",
  "state": "relaxed",
  "formation_enthalpy_0k_mev_per_atom": -158,
  "sg": "C2/m (12)",
  "cell": [[6.664, -8.274, 0.000], [6.664, 8.274, 0.000], [-1.793, 0.000, 8.488]],
  "species": ["Cs", "Rb", "Rb", "Rb", "Rb", "Rb", "Rb", "Rb", "Rb", "Rb", "Rb", "Rb", "Au", "Au", "Au", "Au", "Au"],
  "frac_coords": [[0.000, 0.000, 0.000], [0.000, 0.000, 0.500], [0.130, 0.662, 0.660], [0.194, 0.470, 0.104], [0.327, 0.327, 0.636], [0.338, 0.870, 0.340], [0.470, 0.194, 0.104], [0.530, 0.806, 0.896], [0.662, 0.130, 0.660], [0.673, 0.673, 0.364], [0.806, 0.530, 0.896], [0.870, 0.338, 0.340], [0.002, 0.317, 0.733], [0.317, 0.002, 0.733], [0.500, 0.500, 0.000], [0.683, 0.998, 0.267], [0.998, 0.683, 0.267]]
}


[11]
{
  "formula": "Li2Ti3O7",
  "functional": "GGA-PBE",
  "state": "relaxed",
  "polymorph_energy_mev_per_atom": 0,
  "e_form_raw_ev_per_atom": -2.82,
  "sg": "P2_1/m (11)",
  "cell": [[7.657, 0.000, 0.000], [0.000, 3.758, 0.000], [-1.219, 0.000, 9.374]],
  "species": ["Li", "Li", "Li", "Li", "Ti", "Ti", "Ti", "Ti", "Ti", "Ti", "O", "O", "O", "O", "O", "O", "O", "O", "O", "O", "O", "O", "O", "O"],
  "frac_coords": [[0.075, 0.250, 0.095], [0.100, 0.750, 0.327], [0.900, 0.250, 0.673], [0.925, 0.750, 0.905], [0.236, 0.250, 0.841], [0.336, 0.250, 0.532], [0.447, 0.250, 0.221], [0.553, 0.750, 0.779], [0.664, 0.750, 0.468], [0.764, 0.750, 0.159], [0.012, 0.250, 0.875], [0.149, 0.250, 0.628], [0.244, 0.250, 0.337], [0.306, 0.750, 0.836], [0.321, 0.250, 0.051], [0.406, 0.750, 0.548], [0.494, 0.250, 0.743], [0.506, 0.750, 0.257], [0.594, 0.250, 0.452], [0.679, 0.750, 0.949], [0.694, 0.250, 0.164], [0.756, 0.750, 0.663], [0.851, 0.750, 0.372], [0.988, 0.750, 0.125]]
}


[12]
{
  "formula": "KTb4CeSe8",
  "functional": "GGA-PBE",
  "state": "relaxed",
  "e_form_raw_ev_per_atom": -1.73,
  "sg": "R3m (160)",
  "cell": [[4.301, 2.483, 7.177], [-4.301, 2.483, 7.177], [0.000, -4.967, 7.177]],
  "species": ["K", "Tb", "Tb", "Tb", "Tb", "Ce", "Se", "Se", "Se", "Se", "Se", "Se", "Se", "Se"],
  "frac_coords": [[0.000, 0.000, 0.000], [0.114, 0.632, 0.632], [0.254, 0.254, 0.254], [0.632, 0.114, 0.632], [0.632, 0.632, 0.114], [0.632, 0.632, 0.632], [0.381, 0.381, 0.858], [0.381, 0.858, 0.381], [0.385, 0.385, 0.385], [0.423, 0.867, 0.867], [0.858, 0.381, 0.381], [0.862, 0.862, 0.862], [0.867, 0.423, 0.867], [0.867, 0.867, 0.423]]
}


[13]
{
  "formula": "TbCdIn",
  "functional": "GGA-PBE",
  "state": "relaxed",
  "formation_enthalpy_0k_mev_per_atom": -207,
  "sg": "I-4m2 (119)",
  "cell": [[-2.171, 2.171, 8.679], [2.171, -2.171, 8.679], [2.171, 2.171, -8.679]],
  "species": ["Tb", "Tb", "Cd", "Cd", "In", "In"],
  "frac_coords": [[0.000, 0.000, 0.000], [0.750, 0.250, 0.500], [0.172, 0.672, 0.500], [0.328, 0.828, 0.500], [0.421, 0.421, 0.000], [0.579, 0.579, 0.000]]
}


[14]
{
  "formula": "NaNp2Se3",
  "functional": "GGA-PBE",
  "state": "relaxed",
  "e_form_raw_ev_per_atom": -1.16,
  "sg": "Immm (71)",
  "cell": [[-2.072, 2.917, 6.302], [2.072, -2.917, 6.302], [2.072, 2.917, -6.302]],
  "species": ["Na", "Np", "Np", "Se", "Se", "Se"],
  "frac_coords": [[0.000, 0.000, 0.000], [0.336, 0.336, 0.000], [0.664, 0.664, 0.000], [0.175, 0.675, 0.500], [0.500, 0.000, 0.500], [0.825, 0.325, 0.500]]
}


[15]
{
  "formula": "NaPm2Nd",
  "functional": "GGA-PBE",
  "state": "relaxed",
  "polymorph_energy_mev_per_atom": 40,
  "formation_enthalpy_0k_mev_per_atom": 148,
  "sg": "R-3m (166)",
  "cell": [[1.795, 1.036, 12.980], [-1.795, 1.036, 12.980], [0.000, -2.073, 12.980]],
  "species": ["Na", "Pm", "Pm", "Nd"],
  "frac_coords": [[0.000, 0.000, 0.000], [0.091, 0.091, 0.091], [0.909, 0.909, 0.909], [0.500, 0.500, 0.500]]
}


[16]
{
  "formula": "YbGa2",
  "functional": "GGA-PBE",
  "state": "relaxed",
  "formation_enthalpy_0k_mev_per_atom": -556,
  "sg": "P6/mmm (191)",
  "cell": [[4.461, 0.000, 0.000], [-2.230, 3.863, 0.000], [0.000, 0.000, 3.614]],
  "species": ["Yb", "Ga", "Ga"],
  "frac_coords": [[0.000, 0.000, 0.000], [0.333, 0.667, 0.500], [0.667, 0.333, 0.500]]
}


[17]
{
  "formula": "Sr2Mg",
  "functional": "GGA-PBE",
  "state": "relaxed",
  "formation_enthalpy_0k_mev_per_atom": 39,
  "sg": "I4_1/amd (141)",
  "cell": [[-2.045, 2.045, 15.918], [2.045, -2.045, 15.918], [2.045, 2.045, -15.918]],
  "species": ["Sr", "Sr", "Sr", "Sr", "Mg", "Mg"],
  "frac_coords": [[0.308, 0.558, 0.750], [0.442, 0.692, 0.750], [0.558, 0.308, 0.250], [0.692, 0.442, 0.250], [0.125, 0.875, 0.250], [0.875, 0.125, 0.750]]
}


[18]
{
  "formula": "BaNi2Au",
  "functional": "GGA-PBE",
  "state": "relaxed",
  "polymorph_energy_mev_per_atom": 672,
  "formation_enthalpy_0k_mev_per_atom": 483,
  "sg": "F-43m (216)",
  "cell": [[0.000, 3.491, 3.491], [3.491, 0.000, 3.491], [3.491, 3.491, 0.000]],
  "species": ["Ba", "Ni", "Ni", "Au"],
  "frac_coords": [[0.000, 0.000, 0.000], [0.500, 0.500, 0.500], [0.750, 0.750, 0.750], [0.250, 0.250, 0.250]]
}